A plane-wave DFT calculation with GGA-PBE was carried out for a relaxed ZrScGaNi crystal.

Unit cell a=4.598 b=4.598 c=4.598 alpha=60.00 beta=60.00 gamma=60.00
Positions (direct):
Zr: 0.000 0.000 0.000
Sc: 0.250 0.250 0.250
Ga: 0.500 0.500 0.500
Ni: 0.750 0.750 0.750

Calculated values
E_tot = -5.986 eV/atom


A plane-wave DFT calculation with GGA-PBE was carried out for a relaxed TlGaNiSe3 crystal.

Unit cell a=7.102 b=7.102 c=10.776 alpha=90.00 beta=90.00 gamma=149.24
Positions (direct):
Tl: 0.237 0.763 0.750
Tl: 0.763 0.237 0.250
Ga: 0.500 0.500 0.000
Ga: 0.500 0.500 0.500
Ni: 0.093 0.907 0.250
Ni: 0.907 0.093 0.750
Se: 0.128 0.872 0.036
Se: 0.128 0.872 0.464
Se: 0.490 0.510 0.250
Se: 0.510 0.490 0.750
Se: 0.872 0.128 0.536
Se: 0.872 0.128 0.964

Calculated values
E_tot = -3.891 eV/atom


A plane-wave DFT calculation with GGA-PBE was carried out for a relaxed Ga3Si2Ni5 crystal.

Unit cell a=6.301 b=6.301 c=11.094 alpha=90.00 beta=90.00 gamma=144.72
Positions (direct):
Ga: 0.000 0.000 0.000
Ga: 0.000 0.000 0.500
Ga: 0.331 0.669 0.523
Ga: 0.331 0.669 0.977
Ga: 0.669 0.331 0.023
Ga: 0.669 0.331 0.477
Si: 0.037 0.963 0.250
Si: 0.289 0.711 0.250
Si: 0.711 0.289 0.750
Si: 0.963 0.037 0.750
Ni: 0.159 0.841 0.636
Ni: 0.159 0.841 0.864
Ni: 0.340 0.660 0.750
Ni: 0.479 0.521 0.136
Ni: 0.479 0.521 0.364
Ni: 0.521 0.479 0.636
Ni: 0.521 0.479 0.864
Ni: 0.660 0.340 0.250
Ni: 0.841 0.159 0.136
Ni: 0.841 0.159 0.364

Calculated values
E_tot = -5.226 eV/atom


A plane-wave DFT calculation with GGA-PBE was carried out for a relaxed Tm2GaSiNi4 crystal.

Unit cell a=4.059 b=4.059 c=8.754 alpha=90.00 beta=90.00 gamma=120.00
Positions (direct):
Tm: 0.333 0.667 0.251
Tm: 0.667 0.333 0.749
Ga: 0.000 0.000 0.000
Si: 0.000 0.000 0.500
Ni: 0.333 0.667 0.566
Ni: 0.333 0.667 0.930
Ni: 0.667 0.333 0.070
Ni: 0.667 0.333 0.434

Calculated values
E_tot = -5.607 eV/atom